Record 1
# MgGa2Cu2

MgGa2Cu2 after structural relaxation (PBE, Alexandria).

Unit cell a=3.8079 b=3.8079 c=11.4386 alpha=90.00 beta=90.00 gamma=90.00
Space group I4/mmm (No. 139)
Symmetry-distinct sites (fractional):
1 Mg 0.0000 0.0000 0.0000
2 Ga 0.0000 0.5000 0.2500
3 Cu 0.0000 0.0000 0.3958

Output
Offset from the most stable computed form in meV per atom: 36.2
Formation energy from the elements in meV per atom: -46


Record 2
# ScMn2Be9

ScMn2Be9 after structural relaxation (PBE, Alexandria).

Unit cell a=4.3112 b=4.3112 c=20.8133 alpha=90.00 beta=90.00 gamma=120.00
Space group R-3m (No. 166, hexagonal axes)
Symmetry-distinct sites (fractional):
1 Sc 0.0000 0.0000 0.0000
2 Mn 0.0000 0.0000 0.1466
3 Be 0.0000 0.0000 0.3337
4 Be 0.0000 0.0000 0.5000
5 Be 0.0053 0.5027 0.9125

Output
Formation energy from the elements in meV per atom: -214


Record 3
# Dy2Be4NiPt3

Dy2Be4NiPt3 after structural relaxation (PBE, Alexandria).

Unit cell a=3.9319 b=3.9319 c=9.6042 alpha=90.00 beta=90.00 gamma=90.00
Space group P-4m2 (No. 115)
Symmetry-distinct sites (fractional):
1 Dy 0.0000 0.5000 0.2458
2 Be 0.0000 0.0000 0.5000
3 Be 0.0000 0.5000 0.8785
4 Be 0.5000 0.5000 0.5000
5 Ni 0.5000 0.5000 0.0000
6 Pt 0.0000 0.0000 0.0000
7 Pt 0.0000 0.5000 0.6320

Output
Formation energy from the elements in meV per atom: -797


Record 4
# NiBrCl2

NiBrCl2 after structural relaxation (PBE, Alexandria).

Unit cell a=6.8774 b=6.8774 c=9.1645 alpha=90.00 beta=90.00 gamma=90.00
Space group I-42d (No. 122)
Symmetry-distinct sites (fractional):
1 Ni 0.0000 0.0000 0.0000
2 Br 0.0000 0.0000 0.5000
3 Cl 0.1213 0.2500 0.1250

Output
Formation energy (no corrections) in meV per atom: -50
Offset from the most stable computed form in meV per atom: 337.6


For reference, total magnetic moment by record: 0.000, 6.617, 0.000, 12.142 μB/cell.